Entry 1:
Compound: Pr4SmTm
Source: Alexandria
Functional: GGA-PBE
Structure: optimized geometry

Properties
Polymorph energy (0 for the lowest one), meV/atom: 0
DOS at the Fermi energy, states/eV/f.u.: 9.3
DFT formation energy, eV/f.u.: 0.1
SG: Cmmm (65)

Cell lengths 8.192, 8.192, 5.184 Å; angles 89.99, 89.99, 36.97 degrees
Element x y z (fractional)
Pr 0.665 0.665 0.000
Pr 0.836 0.836 0.500
Pr 0.335 0.335 0.000
Pr 0.164 0.164 0.500
Sm 0.500 0.500 0.500
Tm 0.000 0.000 0.000

=====

Entry 2:
Compound: La2TaHg
Source: Alexandria
Functional: GGA-PBE
Structure: optimized geometry

Properties
DOS at the Fermi energy, states/eV/f.u.: 3.7
DFT formation energy, eV/f.u.: 0.6
SG: Cm (8)

Cell lengths 6.305, 6.305, 5.644 Å; angles 74.64, 74.64, 30.32 degrees
Element x y z (fractional)
Ta 0.531 0.531 0.534
La 0.781 0.781 0.691
La 0.973 0.973 0.049
Hg 0.215 0.215 0.227

=====

Number 1: VASP energy -4.6985 eV/atom. Number 2: VASP energy -5.3501 eV/atom.